The following is a PBE calculation of an optimized crystal structure of NpTiGa6, from Alexandria via LeMat-Bulk.

Calculated values
Space group   P4/mmm
VASP energy   -41.2 eV per cell
Density of states at the Fermi level   8.499 states/eV/f.u.
Formation energy   -279 meV per atom

a b c (Å): 4.128 4.128 8.261
angles (deg): 90.00 90.00 90.00
Positions (direct):
1 Np 0.000 0.000 0.000
2 Ti 0.000 0.000 0.500
3 Ga 0.000 0.500 0.263
4 Ga 0.000 0.500 0.737
5 Ga 0.500 0.000 0.263
6 Ga 0.500 0.000 0.737
7 Ga 0.500 0.500 0.000
8 Ga 0.500 0.500 0.500